[1]
The following is a PBE calculation of a relaxed structure of NbSb2Pt2, from the Alexandria database.

a b c (Å): 7.564 7.564 3.416
angles (deg): 90.00 90.00 90.00
Element x y z (fractional)
Nb1 0.000 0.000 0.000
Nb2 0.500 0.500 0.000
Sb1 0.156 0.344 0.000
Sb2 0.344 0.844 0.000
Sb3 0.656 0.156 0.000
Sb4 0.844 0.656 0.000
Pt1 0.144 0.644 0.500
Pt2 0.356 0.144 0.500
Pt3 0.644 0.856 0.500
Pt4 0.856 0.356 0.500

E_form (uncorrected) = -0.053 eV per atom
Energy above the most stable polymorph in this dataset = 0.00 eV per formula unit
Calculated density = 12.3 g/cm3
Total energy = -6.132 eV/atom

***

[2]
The following is a PBE calculation of a relaxed structure of Nb2SbPt2, from the Alexandria database.

a b c (Å): 7.033 7.033 3.776
angles (deg): 90.00 90.00 90.00
Element x y z (fractional)
Nb1 0.162 0.338 0.000
Nb2 0.338 0.838 0.000
Nb3 0.662 0.162 0.000
Nb4 0.838 0.662 0.000
Sb1 0.000 0.000 0.500
Sb2 0.500 0.500 0.500
Pt1 0.132 0.632 0.500
Pt2 0.368 0.132 0.500
Pt3 0.632 0.868 0.500
Pt4 0.868 0.368 0.500

E_form (uncorrected) = -0.264 eV per atom
Energy above the most stable polymorph in this dataset = 0.00 eV per formula unit
Calculated density = 12.4 g/cm3
Total energy = -7.532 eV/atom

***

[3]
The following is a PBE calculation of a relaxed structure of NbSb3Pt, from the Alexandria database.

a b c (Å): 5.200 5.200 5.200
angles (deg): 90.00 90.00 90.00
Element x y z (fractional)
Nb1 0.000 0.000 0.000
Sb1 0.000 0.500 0.500
Sb2 0.500 0.000 0.500
Sb3 0.500 0.500 0.000
Pt1 0.500 0.500 0.500

E_form (uncorrected) = 0.816 eV per atom
Energy above the most stable polymorph in this dataset = 0.46 eV per formula unit
Calculated density = 7.7 g/cm3
Total energy = -4.880 eV/atom

***

[4]
The following is a PBE calculation of a relaxed structure of Nb2SbPt2, from the Alexandria database.

a b c (Å): 8.017 8.017 2.933
angles (deg): 90.00 90.00 90.00
Element x y z (fractional)
Nb1 0.167 0.333 0.000
Nb2 0.333 0.833 0.000
Nb3 0.667 0.167 0.000
Nb4 0.833 0.667 0.000
Sb1 0.000 0.000 0.000
Sb2 0.500 0.500 0.000
Pt1 0.125 0.625 0.500
Pt2 0.375 0.125 0.500
Pt3 0.625 0.875 0.500
Pt4 0.875 0.375 0.500

E_form (uncorrected) = -0.258 eV per atom
Energy above the most stable polymorph in this dataset = 0.03 eV per formula unit
Calculated density = 12.3 g/cm3
Total energy = -7.527 eV/atom

***

[5]
The following is a PBE calculation of a relaxed structure of NbSb3Pt, from the Alexandria database.

a b c (Å): 5.256 5.256 5.256
angles (deg): 90.00 90.00 90.00
Element x y z (fractional)
Nb1 0.000 0.000 0.000
Sb1 0.000 0.000 0.500
Sb2 0.000 0.500 0.000
Sb3 0.500 0.000 0.000
Pt1 0.500 0.500 0.500

E_form (uncorrected) = 0.724 eV per atom
Energy above the most stable polymorph in this dataset = 0.00 eV per formula unit
Calculated density = 7.5 g/cm3
Total energy = -4.971 eV/atom

***

[6]
The following is a PBE calculation of a relaxed structure of Nb2SbPt, from the Alexandria database.

a b c (Å): 7.472 7.472 5.709
angles (deg): 90.00 90.00 90.00
Element x y z (fractional)
Nb1 0.233 0.750 0.125
Nb2 0.250 0.233 0.875
Nb3 0.250 0.267 0.375
Nb4 0.267 0.750 0.625
Nb5 0.733 0.250 0.625
Nb6 0.750 0.733 0.375
Nb7 0.750 0.767 0.875
Nb8 0.767 0.250 0.125
Sb1 0.000 0.000 0.500
Sb2 0.000 0.500 0.750
Sb3 0.500 0.000 0.250
Sb4 0.500 0.500 0.000
Pt1 0.000 0.000 0.000
Pt2 0.000 0.500 0.250
Pt3 0.500 0.000 0.750
Pt4 0.500 0.500 0.500

E_form (uncorrected) = -0.013 eV per atom
Calculated density = 10.5 g/cm3
Total energy = -7.589 eV/atom

***

[7]
The following is a PBE calculation of a relaxed structure of ScNbSb2Pt, from the Alexandria database.

a b c (Å): 5.252 5.252 4.750
angles (deg): 90.00 90.00 90.00
Element x y z (fractional)
Sc1 0.000 0.000 0.000
Nb1 0.500 0.500 0.500
Sb1 0.000 0.500 0.000
Sb2 0.500 0.000 0.000
Pt1 0.000 0.000 0.500

E_form (uncorrected) = 0.849 eV per atom
Calculated density = 7.3 g/cm3
Total energy = -5.289 eV/atom

***

[8]
The following is a PBE calculation of a relaxed structure of NbSbPtSe2, from the Alexandria database.

a b c (Å): 5.134 5.134 5.278
angles (deg): 90.00 90.00 90.00
Element x y z (fractional)
Nb1 0.000 0.000 0.000
Sb1 0.000 0.000 0.500
Pt1 0.500 0.500 0.000
Se1 0.000 0.500 0.500
Se2 0.500 0.000 0.500

E_form (uncorrected) = 1.468 eV per atom
Calculated density = 6.8 g/cm3
Total energy = -3.972 eV/atom